Compound: CaAl3Ga
Source: Alexandria
Functional: PBE
Structure: optimized geometry

Lattice parameters (Å, degrees): 4.305 4.305 6.352 109.85 109.85 89.87
Positions (direct):
Ca  0.000  0.000  0.000
Al  0.254  0.755  0.508
Al  0.615  0.615  0.230
Al  0.755  0.254  0.508
Ga  0.390  0.390  0.779

As for the space group: No. 8. The volume is 103.3 Å³ per cell. The energy above the lowest structure with this stoichiometry comes out at 0.000 eV/atom.

Compound: Ca6AlGa5
Source: Alexandria
Functional: PBE
Structure: optimized geometry

Lattice parameters (Å, degrees): 5.193 7.365 8.216 90.00 107.95 90.00
Positions (direct):
Ca  0.000  0.246  0.000
Ca  0.000  0.754  0.000
Ca  0.332  0.249  0.663
Ca  0.332  0.751  0.663
Ca  0.668  0.249  0.337
Ca  0.668  0.751  0.337
Al  0.500  0.500  0.000
Ga  0.162  0.500  0.325
Ga  0.165  0.000  0.332
Ga  0.500  0.000  0.000
Ga  0.835  0.000  0.668
Ga  0.838  0.500  0.675

As for the space group: No. 10. The volume is 299.0 Å³ per cell. For the total energy, the calculation gives -2.971 eV per atom.

Compound: CaAlGa6
Source: Alexandria
Functional: PBE
Structure: optimized geometry

Lattice parameters (Å, degrees): 5.464 5.464 5.464 90.00 90.00 90.00
Positions (direct):
Ca  0.000  0.000  0.000
Al  0.500  0.500  0.500
Ga  0.000  0.255  0.500
Ga  0.000  0.745  0.500
Ga  0.255  0.500  0.000
Ga  0.500  0.000  0.255
Ga  0.500  0.000  0.745
Ga  0.745  0.500  0.000

As for the space group: No. 200. The volume is 163.1 Å³ per cell. For the total energy, the calculation gives -3.005 eV per atom.

Compound: Ca3Al4Ga4
Source: Alexandria
Functional: PBE
Structure: optimized geometry

Lattice parameters (Å, degrees): 8.450 8.450 8.450 148.90 131.33 58.90
Positions (direct):
Ca  0.000  0.000  0.000
Ca  0.378  0.878  0.500
Ca  0.622  0.122  0.500
Al  0.027  0.335  0.693
Al  0.358  0.665  0.693
Al  0.642  0.335  0.307
Al  0.973  0.665  0.307
Ga  0.221  0.221  0.000
Ga  0.314  0.500  0.814
Ga  0.686  0.500  0.186
Ga  0.779  0.779  0.000

As for the space group: No. 71. The volume is 232.2 Å³ per cell. For the total energy, the calculation gives -3.347 eV per atom.

Compound: Ca4AlGa
Source: Alexandria
Functional: PBE
Structure: optimized geometry

Lattice parameters (Å, degrees): 9.086 9.086 9.086 33.76 33.76 33.76
Positions (direct):
Ca  0.123  0.123  0.123
Ca  0.373  0.373  0.373
Ca  0.627  0.627  0.627
Ca  0.877  0.877  0.877
Al  0.500  0.500  0.500
Ga  0.000  0.000  0.000

As for the space group: No. 166. The volume is 206.4 Å³ per cell. The energy above the lowest structure with this stoichiometry comes out at 0.126 eV/atom.

Compound: CaAl2Ga4
Source: Alexandria
Functional: PBE
Structure: optimized geometry

Lattice parameters (Å, degrees): 8.447 8.447 5.982 91.29 91.29 41.81
Positions (direct):
Ca  0.250  0.750  0.750
Ca  0.750  0.250  0.250
Al  0.166  0.180  0.513
Al  0.180  0.166  0.013
Al  0.820  0.834  0.987
Al  0.834  0.820  0.487
Ga  0.170  0.673  0.243
Ga  0.301  0.358  0.949
Ga  0.327  0.830  0.257
Ga  0.358  0.301  0.449
Ga  0.642  0.699  0.551
Ga  0.673  0.170  0.743
Ga  0.699  0.642  0.051
Ga  0.830  0.327  0.757

As for the space group: No. 15. The volume is 284.5 Å³ per cell. For the total energy, the calculation gives -3.301 eV per atom.